Entry 1:
Material: LiTbCePd
Method: DFT, PBE
State: relaxed

Lattice parameters (Å, degrees): 5.0854 5.0854 5.0854 60.00 60.00 60.00
Last column: magnetic moment on the atom in μB.
Atoms (fractional coordinates):
Pd 0.7500 0.7500 0.7500  0.00
Ce 0.5000 0.5000 0.5000  0.73
Li 0.2500 0.2500 0.2500  0.01
Tb 0.0000 0.0000 0.0000  0.06

Results
D(E_F), states/eV per atom: 2.150
Energy of formation from the pure elements, kJ/mol of atoms: -25


Entry 2:
Material: LiCeTlPd
Method: DFT, PBE
State: relaxed

Lattice parameters (Å, degrees): 4.8891 4.8891 4.8891 60.00 60.00 60.00
Last column: magnetic moment on the atom in μB.
Atoms (fractional coordinates):
Pd 0.5000 0.5000 0.5000  -0.03
Ce 0.7500 0.7500 0.7500  0.34
Tl 0.2500 0.2500 0.2500  -0.01
Li 0.0000 0.0000 0.0000  0.00

Results
D(E_F), states/eV per atom: 1.324
Energy of formation from the pure elements, kJ/mol of atoms: -39


Entry 3:
Material: LiCeZnPd
Method: DFT, PBE
State: relaxed

Lattice parameters (Å, degrees): 4.8402 4.8402 4.8402 60.00 60.00 60.00
Last column: magnetic moment on the atom in μB.
Atoms (fractional coordinates):
Pd 0.5000 0.5000 0.5000  -0.02
Zn 0.0000 0.0000 0.0000  0.01
Li 0.2500 0.2500 0.2500  0.00
Ce 0.7500 0.7500 0.7500  0.53

Results
D(E_F), states/eV per atom: 1.820
Energy of formation from the pure elements, kJ/mol of atoms: -30


Entry 4:
Material: Li4CePm
Method: DFT, PBE
State: relaxed

Lattice parameters (Å, degrees): 5.9052 5.9052 5.9052 60.00 60.00 60.00
Last column: magnetic moment on the atom in μB.
Atoms (fractional coordinates):
Ce 0.0000 0.0000 0.0000  1.08
Li 0.1271 0.6243 0.6243  0.01
Li 0.6243 0.1271 0.6243  0.01
Li 0.6243 0.6243 0.1271  0.01
Pm 0.2500 0.2500 0.2500  0.20
Li 0.6243 0.6243 0.6243  0.01

Results
D(E_F), states/eV per atom: 1.811
Energy of formation from the pure elements, kJ/mol of atoms: 17


Entry 5:
Material: LiCe2Pm
Method: DFT, PBE
State: relaxed

Lattice parameters (Å, degrees): 3.3314 3.3314 10.2634 90.00 90.00 90.00
Last column: magnetic moment on the atom in μB.
Atoms (fractional coordinates):
Pm 0.5000 0.5000 0.5000  0.01
Ce 0.0000 0.0000 0.2374  0.79
Li 0.5000 0.5000 0.0000  0.02
Ce 0.0000 0.0000 0.7626  0.79

Results
Excess energy over the best structure of this formula in the dataset, meV/atom: 0
D(E_F), states/eV per atom: 2.839
Energy of formation from the pure elements, kJ/mol of atoms: 21


Entry 6:
Material: LiCe2Pm
Method: DFT, PBE
State: relaxed

Lattice parameters (Å, degrees): 3.3033 3.3033 12.5884 82.46 82.46 60.00
Last column: magnetic moment on the atom in μB.
Atoms (fractional coordinates):
Ce 0.0862 0.0862 0.7413  0.70
Pm 0.5000 0.5000 0.5000  0.00
Li 0.0000 0.0000 0.0000  0.00
Ce 0.9138 0.9138 0.2587  0.70

Results
Excess energy over the best structure of this formula in the dataset, meV/atom: 48
D(E_F), states/eV per atom: 2.557
Energy of formation from the pure elements, kJ/mol of atoms: 25


Entry 7:
Material: LiCePmPr
Method: DFT, PBE
State: relaxed

Lattice parameters (Å, degrees): 5.5177 5.5177 5.5177 60.00 60.00 60.00
Last column: magnetic moment on the atom in μB.
Atoms (fractional coordinates):
Pr 0.2500 0.2500 0.2500  0.21
Li 0.0000 0.0000 0.0000  0.00
Ce 0.5000 0.5000 0.5000  1.02
Pm 0.7500 0.7500 0.7500  0.23

Results
D(E_F), states/eV per atom: 2.538
Energy of formation from the pure elements, kJ/mol of atoms: 26


Entry 8:
Material: LiCePmRe
Method: DFT, PBE
State: relaxed

Lattice parameters (Å, degrees): 5.0027 5.0027 5.0027 60.00 60.00 60.00
Last column: magnetic moment on the atom in μB.
Atoms (fractional coordinates):
Pm 0.2500 0.2500 0.2500  0.00
Ce 0.7500 0.7500 0.7500  0.27
Li 0.0000 0.0000 0.0000  0.01
Re 0.5000 0.5000 0.5000  -0.03

Results
D(E_F), states/eV per atom: 1.271
Energy of formation from the pure elements, kJ/mol of atoms: 13


Entry 9:
Material: LiCePm2S5
Method: DFT, PBE
State: relaxed

Lattice parameters (Å, degrees): 3.9918 8.5152 11.9864 90.00 90.00 103.56
Last column: magnetic moment on the atom in μB.
Atoms (fractional coordinates):
S 0.5012 0.0024 0.7841  0.00
Pm 0.1100 0.2200 0.6847  0.01
Ce 0.1972 0.3944 0.0010  0.73
Pm 0.8900 0.7800 0.1847  0.01
Ce 0.8028 0.6056 0.5010  0.73
S 0.6913 0.3826 0.8380  -0.01
Pm 0.1223 0.2447 0.2976  0.01
S 0.3647 0.7295 0.9994  -0.01
S 0.0445 0.0890 0.0729  -0.01
S 0.3087 0.6174 0.3380  -0.01
S 0.9555 0.9110 0.5729  -0.01
S 0.6353 0.2705 0.4994  -0.01
Pm 0.8777 0.7553 0.7976  0.01
S 0.7094 0.4189 0.1649  -0.01
Li 0.4870 0.9739 0.4813  0.00
S 0.2906 0.5811 0.6649  -0.01
Li 0.5130 0.0261 0.9813  0.00
S 0.4988 0.9976 0.2841  0.00

Results
Formation energy (no corrections), eV per atom: -1.8630
D(E_F), states/eV per atom: 0.660


Entry 10:
Material: LiCe2Pm3S6
Method: DFT, PBE
State: relaxed

Lattice parameters (Å, degrees): 6.9359 6.9359 6.9455 99.63 99.63 120.11
Last column: magnetic moment on the atom in μB.
Atoms (fractional coordinates):
Pm 0.8343 0.1657 0.5000  0.01
Ce 0.6656 0.3344 0.0000  0.62
Ce 0.3344 0.6656 0.0000  0.62
S 0.5926 0.9190 0.7557  -0.01
S 0.4074 0.0810 0.2443  -0.01
Pm 0.5000 0.5000 0.5000  0.02
Pm 0.1657 0.8343 0.5000  0.01
S 0.9190 0.5926 0.7557  -0.01
S 0.7560 0.7560 0.2430  -0.01
Li 0.0000 0.0000 0.0000  0.00
S 0.0810 0.4074 0.2443  -0.01
S 0.2440 0.2440 0.7570  -0.01

Results
Formation energy (no corrections), eV per atom: -1.9554
D(E_F), states/eV per atom: 1.103


Entry 11:
Material: LiCe2PmS5
Method: DFT, PBE
State: relaxed

Lattice parameters (Å, degrees): 4.0007 8.5372 11.9995 90.00 90.00 103.55
Last column: magnetic moment on the atom in μB.
Atoms (fractional coordinates):
Pm 0.1968 0.3936 0.0002  0.02
Li 0.4878 0.9756 0.4819  0.00
S 0.0427 0.0853 0.0733  -0.01
S 0.3095 0.6189 0.3386  -0.02
S 0.4996 0.9993 0.2840  -0.03
S 0.6360 0.2720 0.4998  -0.02
S 0.2907 0.5813 0.6650  -0.02
Ce 0.1228 0.2455 0.2977  0.88
S 0.5004 0.0007 0.7840  -0.03
S 0.6905 0.3811 0.8386  -0.02
S 0.3640 0.7280 0.9998  -0.02
Ce 0.8901 0.7802 0.1835  0.88
S 0.9573 0.9147 0.5733  -0.01
Ce 0.8772 0.7545 0.7977  0.88
S 0.7093 0.4187 0.1650  -0.02
Li 0.5122 0.0244 0.9819  0.00
Ce 0.1099 0.2198 0.6835  0.88
Pm 0.8032 0.6064 0.5002  0.02

Results
Formation energy (no corrections), eV per atom: -1.8580
D(E_F), states/eV per atom: 1.404


Entry 12:
Material: Li4CePm3S8
Method: DFT, PBE
State: relaxed

Lattice parameters (Å, degrees): 8.0728 7.7559 8.0704 121.38 120.01 90.00
Last column: magnetic moment on the atom in μB.
Atoms (fractional coordinates):
Li 0.0000 0.0000 0.5000  0.00
S 0.2479 0.2439 0.4957  0.00
S 0.7477 0.2441 0.9961  -0.01
Li 0.5000 0.0000 0.0000  0.00
S 0.7477 0.2441 0.4954  -0.01
Pm 0.5000 0.5000 0.5000  0.01
Pm 0.0000 0.5000 0.5000  0.01
S 0.7516 0.7559 0.0039  -0.01
S 0.2523 0.7559 0.0039  -0.01
Li 0.0000 0.0000 0.0000  0.00
S 0.7521 0.7561 0.5043  0.00
Pm 0.5000 0.5000 0.0000  0.01
S 0.2484 0.2441 0.9961  -0.01
S 0.2523 0.7559 0.5046  -0.01
Ce 0.0000 0.5000 0.0000  0.85
Li 0.5000 0.0000 0.5000  0.00

Results
Formation energy (no corrections), eV per atom: -1.7763
D(E_F), states/eV per atom: 0.390